1.
The following is a PBE-GGA calculation of a geometry-optimized ScAlMo2C2 structure, from the Open Quantum Materials Database.

## Properties
Calculated volume = 12.9 Å³ per atom
Magnetic moment = 0.00 μB/cell
Space group = P6_3/mmc

Unit cell a=3.056 b=3.056 c=19.073 alpha=90.00 beta=90.00 gamma=120.00
Atoms (fractional coordinates):
Sc1 0.000 0.000 0.000
Sc2 0.000 0.000 0.500
Al1 0.000 0.000 0.250
Al2 0.000 0.000 0.750
Mo1 0.333 0.667 0.138
Mo2 0.333 0.667 0.362
Mo3 0.667 0.333 0.638
Mo4 0.667 0.333 0.862
C1 0.333 0.667 0.576
C2 0.333 0.667 0.924
C3 0.667 0.333 0.076
C4 0.667 0.333 0.424

2.
The following is a PBE-GGA calculation of a geometry-optimized BeCdFeSi structure, from the Open Quantum Materials Database.

## Properties
Calculated volume = 13.1 Å³ per atom
Magnetic moment = 5.28 μB/cell
Offset from the most stable computed form = 0.0 meV/atom
Space group = F-43m

Unit cell a=5.933 b=5.933 c=5.933 alpha=90.00 beta=90.00 gamma=90.00
Atoms (fractional coordinates):
Be1 0.000 0.000 0.000
Be2 0.000 0.500 0.500
Be3 0.500 0.000 0.500
Be4 0.500 0.500 0.000
Cd1 0.250 0.250 0.750
Cd2 0.250 0.750 0.250
Cd3 0.750 0.250 0.250
Cd4 0.750 0.750 0.750
Fe1 0.000 0.000 0.500
Fe2 0.000 0.500 0.000
Fe3 0.500 0.000 0.000
Fe4 0.500 0.500 0.500
Si1 0.250 0.250 0.250
Si2 0.250 0.750 0.750
Si3 0.750 0.250 0.750
Si4 0.750 0.750 0.250

3.
The following is a PBE-GGA calculation of a geometry-optimized SrPr2Pt9 structure, from the Open Quantum Materials Database.

## Properties
Calculated volume = 19.5 Å³ per atom
Magnetic moment = 0.00 μB/cell
Space group = R-3m

Unit cell a=9.465 b=9.465 c=9.465 alpha=33.80 beta=33.80 gamma=33.80
Atoms (fractional coordinates):
Sr1 0.000 0.000 0.000
Pr1 0.139 0.139 0.139
Pr2 0.861 0.861 0.861
Pt1 0.080 0.587 0.587
Pt2 0.333 0.333 0.333
Pt3 0.413 0.413 0.920
Pt4 0.413 0.920 0.413
Pt5 0.500 0.500 0.500
Pt6 0.587 0.080 0.587
Pt7 0.587 0.587 0.080
Pt8 0.667 0.667 0.667
Pt9 0.920 0.413 0.413

4.
The following is a PBE-GGA calculation of a geometry-optimized DyAgBiSb structure, from the Open Quantum Materials Database.

## Properties
Calculated volume = 25.3 Å³ per atom
Magnetic moment = 0.00 μB/cell
Offset from the most stable computed form = 0.0 meV/atom
Space group = P4/nmm

Unit cell a=4.418 b=4.418 c=10.367 alpha=90.00 beta=90.00 gamma=90.00
Atoms (fractional coordinates):
Dy1 0.250 0.250 0.247
Dy2 0.750 0.750 0.753
Ag1 0.250 0.750 0.500
Ag2 0.750 0.250 0.500
Bi1 0.250 0.750 0.000
Bi2 0.750 0.250 0.000
Sb1 0.250 0.250 0.684
Sb2 0.750 0.750 0.316

5.
The following is a PBE-GGA calculation of a geometry-optimized ZrInFeMo structure, from the Open Quantum Materials Database.

## Properties
Calculated volume = 17.5 Å³ per atom
Magnetic moment = 11.80 μB/cell
Offset from the most stable computed form = 0.0 meV/atom
Space group = F-43m

Unit cell a=6.542 b=6.542 c=6.542 alpha=90.00 beta=90.00 gamma=90.00
Atoms (fractional coordinates):
Zr1 0.000 0.000 0.000
Zr2 0.000 0.500 0.500
Zr3 0.500 0.000 0.500
Zr4 0.500 0.500 0.000
In1 0.000 0.000 0.500
In2 0.000 0.500 0.000
In3 0.500 0.000 0.000
In4 0.500 0.500 0.500
Fe1 0.250 0.250 0.750
Fe2 0.250 0.750 0.250
Fe3 0.750 0.250 0.250
Fe4 0.750 0.750 0.750
Mo1 0.250 0.250 0.250
Mo2 0.250 0.750 0.750
Mo3 0.750 0.250 0.750
Mo4 0.750 0.750 0.250

6.
The following is a PBE-GGA calculation of a geometry-optimized LiZrCuTeS2 structure, from the Open Quantum Materials Database.

## Properties
Calculated volume = 20.7 Å³ per atom
Magnetic moment = 0.01 μB/cell
Space group = Cmcm

Unit cell a=6.861 b=6.861 c=10.202 alpha=90.00 beta=90.00 gamma=148.81
Atoms (fractional coordinates):
Li1 0.188 0.812 0.750
Li2 0.812 0.188 0.250
Zr1 0.000 0.000 0.000
Zr2 0.000 0.000 0.500
Cu1 0.479 0.521 0.250
Cu2 0.521 0.479 0.750
Te1 0.118 0.882 0.250
Te2 0.882 0.118 0.750
S1 0.374 0.626 0.074
S2 0.374 0.626 0.426
S3 0.626 0.374 0.574
S4 0.626 0.374 0.926

7.
The following is a PBE-GGA calculation of a geometry-optimized GdScMo structure, from the Open Quantum Materials Database.

## Properties
Calculated volume = 25.0 Å³ per atom
Magnetic moment = 6.36 μB/cell
ΔE_f = 1092 meV per atom
Space group = F-43m

Unit cell a=6.691 b=6.691 c=6.691 alpha=90.00 beta=90.00 gamma=90.00
Atoms (fractional coordinates):
Gd1 0.000 0.000 0.000
Gd2 0.000 0.500 0.500
Gd3 0.500 0.000 0.500
Gd4 0.500 0.500 0.000
Sc1 0.250 0.250 0.250
Sc2 0.250 0.750 0.750
Sc3 0.750 0.250 0.750
Sc4 0.750 0.750 0.250
Mo1 0.000 0.000 0.500
Mo2 0.000 0.500 0.000
Mo3 0.500 0.000 0.000
Mo4 0.500 0.500 0.500

8.
The following is a PBE-GGA calculation of a geometry-optimized K2CuCl3 structure, from the Open Quantum Materials Database.

## Properties
Calculated volume = 26.3 Å³ per atom
Space group = Pnma

Unit cell a=12.093 b=4.145 c=12.591 alpha=90.00 beta=90.00 gamma=90.00
Atoms (fractional coordinates):
K1 0.013 0.250 0.175
K2 0.173 0.250 0.519
K3 0.327 0.750 0.019
K4 0.487 0.750 0.675
K5 0.513 0.250 0.325
K6 0.673 0.250 0.981
K7 0.827 0.750 0.481
K8 0.987 0.750 0.825
Cu1 0.248 0.750 0.301
Cu2 0.252 0.250 0.801
Cu3 0.748 0.750 0.199
Cu4 0.752 0.250 0.699
Cl1 0.062 0.750 0.360
Cl2 0.133 0.250 0.948
Cl3 0.224 0.750 0.711
Cl4 0.276 0.250 0.211
Cl5 0.367 0.750 0.448
Cl6 0.438 0.250 0.860
Cl7 0.562 0.750 0.140
Cl8 0.633 0.250 0.552
Cl9 0.724 0.750 0.789
Cl10 0.776 0.250 0.289
Cl11 0.867 0.750 0.052
Cl12 0.938 0.250 0.640

Here are the calculated total DFT energy (no corrections) numbers, same order: -104.84; -66.48; -75.63; -35.51; -118.50; -63.26; -74.22; -80.48 (eV per cell).